(1)
The following is a PBE-GGA calculation of a geometry-optimized Pr2ThS5 structure, from the Alexandria database.

a b c (Å): 7.616 8.288 12.149
angles (deg): 90.00 90.00 90.00
Fractional positions:
Pr: 0.982 0.000 0.822
Pr: 0.518 0.000 0.322
Pr: 0.482 0.500 0.678
Pr: 0.482 0.000 0.678
Pr: 0.018 0.000 0.178
Pr: 0.982 0.500 0.822
Pr: 0.018 0.500 0.178
Pr: 0.518 0.500 0.322
S: 0.840 0.958 0.600
S: 0.957 0.250 0.001
S: 0.543 0.250 0.501
S: 0.201 0.750 0.716
S: 0.701 0.250 0.784
S: 0.172 0.250 0.686
S: 0.340 0.042 0.900
S: 0.299 0.750 0.216
S: 0.457 0.750 0.499
S: 0.840 0.542 0.600
S: 0.672 0.750 0.814
S: 0.328 0.250 0.186
S: 0.799 0.250 0.284
S: 0.160 0.042 0.400
S: 0.660 0.542 0.100
S: 0.043 0.750 0.999
S: 0.660 0.958 0.100
S: 0.160 0.458 0.400
S: 0.828 0.750 0.314
S: 0.340 0.458 0.900
Th: 0.575 0.250 0.009
Th: 0.425 0.750 0.991
Th: 0.925 0.250 0.509
Th: 0.075 0.750 0.491

Calculated values
Uncorrected energy   -54.1 eV/f.u.


(2)
The following is a PBE-GGA calculation of a geometry-optimized Pr4ThS5 structure, from the Alexandria database.

a b c (Å): 5.784 7.085 7.085
angles (deg): 80.41 65.91 65.91
Fractional positions:
Th: 0.001 0.000 0.000
S: 0.901 0.395 0.805
S: 0.501 0.000 0.000
S: 0.706 0.195 0.395
S: 0.101 0.605 0.195
S: 0.296 0.805 0.605
Pr: 0.200 0.206 0.396
Pr: 0.802 0.794 0.604
Pr: 0.596 0.604 0.206
Pr: 0.406 0.396 0.794

Calculated values
Uncorrected energy   -67.0 eV/f.u.


(3)
The following is a PBE-GGA calculation of a geometry-optimized Pr5Th3S8 structure, from the Alexandria database.

a b c (Å): 8.133 8.133 8.180
angles (deg): 60.19 60.19 60.00
Fractional positions:
Pr: 0.500 0.500 0.000
Pr: 0.000 0.000 0.000
Pr: 0.000 0.500 0.000
Pr: 0.500 0.500 0.500
Pr: 0.500 0.000 0.000
S: 0.750 0.750 0.253
S: 0.753 0.250 0.747
S: 0.751 0.751 0.747
S: 0.247 0.750 0.253
S: 0.250 0.250 0.747
S: 0.750 0.247 0.253
S: 0.249 0.249 0.253
S: 0.250 0.753 0.747
Th: 0.500 0.000 0.500
Th: 0.000 0.000 0.500
Th: 0.000 0.500 0.500

Calculated values
Uncorrected energy   -110.4 eV/f.u.


(4)
The following is a PBE-GGA calculation of a geometry-optimized Pr2ThS3 structure, from the Alexandria database.

a b c (Å): 7.052 7.052 7.092
angles (deg): 99.56 99.56 119.85
Fractional positions:
S: 0.416 0.087 0.248
S: 0.589 0.923 0.756
S: 0.913 0.584 0.752
S: 0.251 0.246 0.752
S: 0.077 0.411 0.244
S: 0.754 0.749 0.248
Pr: 0.496 0.504 0.500
Pr: 0.170 0.830 0.500
Pr: 0.833 0.167 0.500
Pr: 0.333 0.667 0.000
Th: 0.000 0.000 0.000
Th: 0.666 0.334 0.000

Calculated values
Uncorrected energy   -41.1 eV/f.u.


(5)
The following is a PBE-GGA calculation of a geometry-optimized PrThS3 structure, from the Alexandria database.

a b c (Å): 4.788 8.011 8.096
angles (deg): 97.04 90.00 107.39
Fractional positions:
Th: 0.125 0.250 0.896
Th: 0.875 0.750 0.104
Pr: 0.365 0.730 0.624
Pr: 0.635 0.270 0.376
S: 0.947 0.895 0.793
S: 0.823 0.646 0.416
S: 0.320 0.640 0.962
S: 0.177 0.354 0.584
S: 0.053 0.105 0.207
S: 0.680 0.360 0.038

Calculated values
Offset from the most stable computed form   232 meV per atom
Uncorrected energy   -33.5 eV/f.u.


(6)
The following is a PBE-GGA calculation of a geometry-optimized Pr5ThS7 structure, from the Alexandria database.

a b c (Å): 4.011 7.091 23.816
angles (deg): 91.70 90.00 106.43
Fractional positions:
Pr: 0.720 0.439 0.928
Pr: 0.726 0.451 0.571
Pr: 0.448 0.896 0.852
Pr: 0.273 0.545 0.429
Pr: 0.544 0.088 0.353
Pr: 0.554 0.109 0.148
Pr: 0.283 0.567 0.072
Pr: 0.999 0.998 0.500
Pr: 0.455 0.910 0.647
Pr: 0.002 0.003 0.000
S: 0.181 0.362 0.318
S: 0.899 0.799 0.381
S: 0.639 0.279 0.040
S: 0.086 0.172 0.887
S: 0.802 0.605 0.816
S: 0.917 0.834 0.113
S: 0.364 0.727 0.961
S: 0.565 0.130 0.751
S: 0.099 0.198 0.618
S: 0.817 0.635 0.681
S: 0.435 0.871 0.248
S: 0.365 0.729 0.538
S: 0.200 0.400 0.184
S: 0.634 0.267 0.462
Th: 0.791 0.582 0.261
Th: 0.210 0.420 0.740

Calculated values
Uncorrected energy   -86.0 eV/f.u.


(7)
The following is a PBE-GGA calculation of a geometry-optimized PrTh5S6 structure, from the Alexandria database.

a b c (Å): 7.011 7.034 7.010
angles (deg): 59.88 80.42 70.64
Fractional positions:
Th: 0.000 0.333 0.334
Th: 0.500 0.835 0.330
Th: 0.500 0.500 0.000
Th: 0.500 0.165 0.670
Th: 0.000 0.667 0.666
S: 0.249 0.252 0.000
S: 0.751 0.748 0.000
S: 0.251 0.916 0.665
S: 0.749 0.419 0.665
S: 0.749 0.084 0.335
S: 0.251 0.581 0.335
Pr: 0.000 0.000 0.000

Calculated values
Uncorrected energy   -89.1 eV/f.u.


(8)
The following is a PBE-GGA calculation of a geometry-optimized PrThS2 structure, from the Alexandria database.

a b c (Å): 4.042 4.047 7.126
angles (deg): 106.48 90.00 119.95
Fractional positions:
S: 0.749 0.998 0.747
S: 0.251 0.002 0.253
Th: 0.000 0.500 0.500
Pr: 0.500 0.500 0.000

Calculated values
Offset from the most stable computed form   0 meV per atom
Uncorrected energy   -28.1 eV/f.u.


(9)
The following is a PBE-GGA calculation of a geometry-optimized PrThS2 structure, from the Alexandria database.

a b c (Å): 3.977 3.977 14.024
angles (deg): 90.00 90.00 120.00
Fractional positions:
S: 0.333 0.667 0.375
S: 0.333 0.667 0.125
S: 0.667 0.333 0.625
S: 0.667 0.333 0.875
Th: 0.333 0.667 0.750
Th: 0.667 0.333 0.250
Pr: 0.000 0.000 0.000
Pr: 0.000 0.000 0.500

Calculated values
Offset from the most stable computed form   36 meV per atom
Uncorrected energy   -28.0 eV/f.u.


(10)
The following is a PBE-GGA calculation of a geometry-optimized PrThS4 structure, from the Alexandria database.

a b c (Å): 6.968 6.932 6.771
angles (deg): 90.00 91.81 90.00
Fractional positions:
S: 0.116 0.879 0.622
S: 0.384 0.379 0.378
S: 0.158 0.347 0.865
S: 0.342 0.847 0.135
S: 0.842 0.653 0.135
S: 0.884 0.121 0.378
S: 0.658 0.153 0.865
S: 0.616 0.621 0.622
Th: 0.000 0.000 0.000
Th: 0.500 0.500 0.000
Pr: 0.000 0.500 0.500
Pr: 0.500 0.000 0.500

Calculated values
Uncorrected energy   -38.1 eV/f.u.


(11)
The following is a PBE-GGA calculation of a geometry-optimized PrThS3 structure, from the Alexandria database.

a b c (Å): 4.041 7.573 15.677
angles (deg): 90.00 90.00 90.00
Fractional positions:
Th: 0.750 0.747 0.043
Th: 0.250 0.253 0.957
Th: 0.250 0.753 0.543
Th: 0.750 0.247 0.457
Pr: 0.250 0.610 0.294
Pr: 0.750 0.890 0.794
Pr: 0.750 0.390 0.706
Pr: 0.250 0.110 0.206
S: 0.750 0.490 0.899
S: 0.250 0.870 0.931
S: 0.750 0.130 0.069
S: 0.250 0.168 0.781
S: 0.750 0.832 0.219
S: 0.750 0.990 0.601
S: 0.250 0.370 0.569
S: 0.250 0.010 0.399
S: 0.250 0.510 0.101
S: 0.750 0.630 0.431
S: 0.250 0.668 0.719
S: 0.750 0.332 0.281

Calculated values
Offset from the most stable computed form   0 meV per atom
Uncorrected energy   -34.7 eV/f.u.


(12)
The following is a PBE-GGA calculation of a geometry-optimized Pr2Th2S7 structure, from the Alexandria database.

a b c (Å): 4.116 8.648 8.648
angles (deg): 61.21 76.23 76.23
Fractional positions:
S: 0.188 0.699 0.925
S: 0.385 0.724 0.506
S: 0.858 0.421 0.862
S: 0.142 0.138 0.579
S: 0.615 0.494 0.276
S: 0.500 0.015 0.985
S: 0.812 0.075 0.301
Pr: 0.000 0.793 0.207
Pr: 0.500 0.335 0.665
Th: 0.739 0.841 0.681
Th: 0.261 0.319 0.159

Calculated values
Uncorrected energy   -75.3 eV/f.u.


(13)
The following is a PBE-GGA calculation of a geometry-optimized PrTh3S structure, from the Alexandria database.

a b c (Å): 5.459 5.459 5.459
angles (deg): 90.00 90.00 90.00
Fractional positions:
Th: 0.000 0.000 0.500
Th: 0.500 0.000 0.000
Th: 0.000 0.500 0.000
S: 0.000 0.000 0.000
Pr: 0.500 0.500 0.500

Calculated values
Uncorrected energy   -34.1 eV/f.u.


(14)
The following is a PBE-GGA calculation of a geometry-optimized Pr2ThS4 structure, from the Alexandria database.

a b c (Å): 3.979 7.087 13.328
angles (deg): 90.00 90.00 106.30
Fractional positions:
Th: 0.628 0.255 0.750
Th: 0.372 0.745 0.250
S: 0.018 0.037 0.250
S: 0.222 0.444 0.627
S: 0.500 0.000 0.500
S: 0.982 0.963 0.750
S: 0.778 0.556 0.127
S: 0.778 0.556 0.373
S: 0.500 0.000 0.000
S: 0.222 0.444 0.873
Pr: 0.133 0.267 0.070
Pr: 0.867 0.733 0.570
Pr: 0.867 0.733 0.930
Pr: 0.133 0.267 0.430

Calculated values
Uncorrected energy   -47.0 eV/f.u.


(15)
The following is a PBE-GGA calculation of a geometry-optimized Pr4Th3S8 structure, from the Alexandria database.

a b c (Å): 7.806 7.806 8.963
angles (deg): 64.19 64.19 60.00
Fractional positions:
S: 0.240 0.751 0.257
S: 0.751 0.751 0.257
S: 0.249 0.249 0.743
S: 0.762 0.762 0.714
S: 0.751 0.240 0.257
S: 0.238 0.238 0.286
S: 0.249 0.760 0.743
S: 0.760 0.249 0.743
Pr: 0.000 0.000 0.000
Pr: 0.500 0.500 0.500
Pr: 0.647 0.647 0.060
Pr: 0.353 0.353 0.940
Th: 0.000 0.000 0.500
Th: 0.000 0.500 0.500
Th: 0.500 0.000 0.500

Calculated values
Uncorrected energy   -99.4 eV/f.u.


(16)
The following is a PBE-GGA calculation of a geometry-optimized Pr3ThS6 structure, from the Alexandria database.

a b c (Å): 4.076 11.406 11.685
angles (deg): 107.44 90.00 90.00
Fractional positions:
S: 0.750 0.919 0.105
S: 0.750 0.478 0.614
S: 0.250 0.522 0.386
S: 0.250 0.081 0.895
S: 0.750 0.756 0.282
S: 0.250 0.181 0.250
S: 0.750 0.403 0.070
S: 0.750 0.819 0.750
S: 0.750 0.108 0.462
S: 0.250 0.597 0.930
S: 0.250 0.892 0.538
S: 0.250 0.244 0.718
Th: 0.250 0.954 0.309
Th: 0.750 0.046 0.691
Pr: 0.750 0.681 0.506
Pr: 0.250 0.319 0.494
Pr: 0.750 0.422 0.832
Pr: 0.250 0.578 0.168
Pr: 0.750 0.163 0.078
Pr: 0.250 0.837 0.922

Calculated values
Uncorrected energy   -66.6 eV/f.u.


(17)
The following is a PBE-GGA calculation of a geometry-optimized PrThS2 structure, from the Alexandria database.

a b c (Å): 3.932 3.932 7.627
angles (deg): 75.06 75.06 60.00
Fractional positions:
Pr: 0.670 0.670 0.990
Th: 0.496 0.496 0.511
S: 0.250 0.250 0.251
S: 0.084 0.084 0.748

Calculated values
Offset from the most stable computed form   104 meV per atom
Uncorrected energy   -27.7 eV/f.u.


(18)
The following is a PBE-GGA calculation of a geometry-optimized PrTh2S5 structure, from the Alexandria database.

a b c (Å): 7.562 8.069 12.342
angles (deg): 90.00 90.00 90.00
Fractional positions:
S: 0.531 0.750 0.999
S: 0.293 0.250 0.286
S: 0.320 0.750 0.314
S: 0.793 0.750 0.214
S: 0.180 0.750 0.814
S: 0.840 0.459 0.890
S: 0.707 0.750 0.714
S: 0.820 0.250 0.186
S: 0.660 0.459 0.390
S: 0.340 0.959 0.610
S: 0.660 0.041 0.390
S: 0.840 0.041 0.890
S: 0.680 0.250 0.686
S: 0.031 0.250 0.501
S: 0.340 0.541 0.610
S: 0.207 0.250 0.786
S: 0.160 0.959 0.110
S: 0.160 0.541 0.110
S: 0.969 0.750 0.499
S: 0.469 0.250 0.001
Pr: 0.922 0.750 0.995
Pr: 0.578 0.750 0.495
Pr: 0.078 0.250 0.005
Pr: 0.422 0.250 0.505
Th: 0.510 0.501 0.180
Th: 0.510 0.999 0.180
Th: 0.490 0.001 0.820
Th: 0.990 0.999 0.680
Th: 0.490 0.499 0.820
Th: 0.010 0.001 0.320
Th: 0.990 0.501 0.680
Th: 0.010 0.499 0.320

Calculated values
Uncorrected energy   -56.0 eV/f.u.


no.,mass density (g/cm3),formation energy (no corrections) (eV per atom)
1,5.8,-2.06
2,6.6,-1.98
3,7.2,-1.95
4,7.0,-1.95
5,5.3,-1.79
6,5.9,-1.99
7,8.8,-1.87
8,7.6,-1.92
9,7.6,-1.89
10,5.1,-1.56
11,6.5,-2.02
12,6.2,-2.00
13,8.9,-0.59
14,5.9,-1.94
15,6.2,-1.67
16,5.4,-2.00
17,7.4,-1.82
18,6.7,-1.97